w:
Ba2TePb: relaxed, GGA-PBE.

Cell: 9.3721 9.3721 7.7798 Å, 52.96 52.96 90.00°
With the nearest neighbours (Å) after each atom.
Fractional coordinates of all 8 atoms:
Pb: 0.0000 0.0000 0.0000  4 Ba 3.56
Pb: 0.7500 0.2500 0.5000  4 Ba 3.56
Te: 0.5000 0.5000 0.0000  4 Ba 3.38
Te: 0.2500 0.7500 0.5000  4 Ba 3.38
Ba: 0.6110 0.1250 0.2500  2 Te 3.38, 2 Pb 3.56
Ba: 0.1390 0.6250 0.2500  2 Te 3.38, 2 Pb 3.56
Ba: 0.3750 0.3890 0.7500  2 Te 3.38, 2 Pb 3.56
Ba: 0.8750 0.8610 0.7500  2 Te 3.38, 2 Pb 3.56

Summary:
SG = No. 122
total moment = 0.00 μB per cell


x:
Ba2TePb: relaxed, GGA-PBE.

Cell: 9.0585 6.1429 4.2011 Å, 89.98 62.40 125.37°
With the nearest neighbours (Å) after each atom.
Fractional coordinates of all 4 atoms:
Ba: 0.0000 0.0000 0.0000  4 Te 3.72, 4 Pb 3.72, 2 Ba 4.01
Ba: 0.5000 0.0000 0.5000  4 Pb 3.72, 4 Te 3.72, 2 Ba 4.01
Pb: 0.0000 0.5000 0.5000  8 Ba 3.72, 2 Te 4.01
Te: 0.5000 0.5000 0.0000  8 Ba 3.72, 2 Pb 4.01

Summary:
SG = No. 65
total moment = 0.00 μB per cell


y:
Ba2TePb: relaxed, GGA-PBE.

Cell: 6.0893 6.0893 6.0893 Å, 60.00 60.00 60.00°
With the nearest neighbours (Å) after each atom.
Fractional coordinates of all 4 atoms:
Pb: 0.5000 0.5000 0.5000  8 Ba 3.73
Te: 0.0000 0.0000 0.0000  8 Ba 3.73
Ba: 0.2500 0.2500 0.2500  4 Pb 3.73, 4 Te 3.73
Ba: 0.7500 0.7500 0.7500  4 Pb 3.73, 4 Te 3.73

Summary:
SG = No. 225
total moment = 0.90 μB per cell


Which of them is most stable? Easy: x.


w:
Ba2TePb: relaxed, GGA-PBE.

Cell: 5.9801 5.9801 5.9801 Å, 60.00 60.00 60.00°
With the nearest neighbours (Å) after each atom.
Fractional coordinates of all 4 atoms:
Ba: 0.0000 0.0000 0.0000  4 Ba 3.66, 4 Te 3.66
Ba: 0.2500 0.2500 0.2500  4 Pb 3.66, 4 Ba 3.66
Pb: 0.5000 0.5000 0.5000  4 Ba 3.66, 4 Te 3.66
Te: 0.7500 0.7500 0.7500  4 Ba 3.66, 4 Pb 3.66

Summary:
SG = No. 216
total moment = 0.00 μB per cell


x:
Ba2TePb: relaxed, GGA-PBE.

Cell: 6.1609 6.1609 4.1630 Å, 90.00 90.00 90.00°
With the nearest neighbours (Å) after each atom.
Fractional coordinates of all 4 atoms:
Ba: 0.0000 0.0000 0.0000  4 Pb 3.72, 4 Te 3.72, 2 Ba 4.16
Ba: 0.5000 0.5000 0.0000  4 Pb 3.72, 4 Te 3.72, 2 Ba 4.16
Pb: 0.5000 0.0000 0.5000  8 Ba 3.72, 2 Pb 4.16
Te: 0.0000 0.5000 0.5000  8 Ba 3.72, 2 Te 4.16

Summary:
SG = No. 123
total moment = 0.00 μB per cell


Which of them is most stable? Easy: x.


w:
Ba2TePb: relaxed, GGA-PBE.

Cell: 7.3259 7.3259 7.3259 Å, 140.01 140.01 57.84°
With the nearest neighbours (Å) after each atom.
Fractional coordinates of all 4 atoms:
Ba: 0.0000 0.0000 0.0000  4 Pb 3.54
Ba: 0.2500 0.7500 0.5000  4 Te 3.54
Pb: 0.5000 0.5000 0.0000  4 Ba 3.54
Te: 0.7500 0.2500 0.5000  4 Ba 3.54

Summary:
SG = No. 119
total moment = 0.00 μB per cell


x:
Ba2TePb: relaxed, GGA-PBE.

Cell: 4.1517 4.1401 10.1401 Å, 65.95 90.00 90.00°
With the nearest neighbours (Å) after each atom.
Fractional coordinates of all 4 atoms:
Ba: 0.0000 0.0217 0.9785  4 Te 3.61-3.62, 4 Pb 3.86
Ba: 0.0000 0.4783 0.5215  4 Te 3.61-3.62, 4 Pb 3.86
Pb: 0.5000 0.2500 0.2500  8 Ba 3.86, 4 Pb 4.14-4.15
Te: 0.5000 0.7500 0.7500  8 Ba 3.61-3.62

Summary:
SG = No. 10
total moment = 0.00 μB per cell


Which of them is most stable? Easy: x.


w:
Ba2TePb2: relaxed, GGA-PBE.

Cell: 9.4087 9.4087 5.2201 Å, 90.00 90.00 90.00°
With the nearest neighbours (Å) after each atom.
Fractional coordinates of all 10 atoms:
Pb: 0.1066 0.6066 0.5000  1 Pb 2.84
Pb: 0.6066 0.8934 0.5000  1 Pb 2.84
Pb: 0.8934 0.3934 0.5000  1 Pb 2.84
Pb: 0.3934 0.1066 0.5000  1 Pb 2.84
Te: 0.0000 0.0000 0.0000  4 Ba 3.41
Te: 0.5000 0.5000 0.0000  4 Ba 3.41
Ba: 0.3070 0.8070 0.0000  2 Te 3.41, 2 Pb 3.73
Ba: 0.8070 0.6930 0.0000  2 Te 3.41, 2 Pb 3.73
Ba: 0.6930 0.1930 0.0000  2 Te 3.41, 2 Pb 3.73
Ba: 0.1930 0.3070 0.0000  2 Te 3.41, 2 Pb 3.73

Summary:
SG = No. 127
total moment = 0.00 μB per cell


x:
Ba2TePb2: relaxed, GGA-PBE.

Cell: 8.7959 8.7959 5.1151 Å, 90.00 90.00 90.00°
With the nearest neighbours (Å) after each atom.
Fractional coordinates of all 10 atoms:
Pb: 0.3738 0.8738 0.0000  1 Pb 3.14, 2 Te 3.47
Pb: 0.8738 0.6262 0.0000  1 Pb 3.14, 2 Te 3.47
Pb: 0.6262 0.1262 0.0000  1 Pb 3.14, 2 Te 3.47
Pb: 0.1262 0.3738 0.0000  1 Pb 3.14, 2 Te 3.47
Te: 0.0000 0.0000 0.0000  4 Pb 3.47
Te: 0.5000 0.5000 0.0000  4 Pb 3.47
Ba: 0.1765 0.6765 0.5000  6 Pb 3.54-3.72
Ba: 0.6765 0.8235 0.5000  6 Pb 3.54-3.72
Ba: 0.8235 0.3235 0.5000  6 Pb 3.54-3.72
Ba: 0.3235 0.1765 0.5000  6 Pb 3.54-3.72

Summary:
SG = No. 127
total moment = 0.00 μB per cell


Which of them is most stable? Easy: x.


w:
BaTe3Pb: relaxed, GGA-PBE.

Cell: 5.9089 5.9089 5.9089 Å, 90.00 90.00 90.00°
With the nearest neighbours (Å) after each atom.
Fractional coordinates of all 5 atoms:
Pb: 0.0000 0.0000 0.0000  6 Te 2.95
Te: 0.0000 0.5000 0.0000  2 Pb 2.95
Te: 0.0000 0.0000 0.5000  2 Pb 2.95
Te: 0.5000 0.0000 0.0000  2 Pb 2.95
Ba: 0.5000 0.5000 0.5000  12 Te 4.18

Summary:
SG = No. 221
total moment = 0.00 μB per cell


x:
BaTe3Pb: relaxed, GGA-PBE.

Cell: 6.3447 6.3447 6.3447 Å, 90.00 90.00 90.00°
With the nearest neighbours (Å) after each atom.
Fractional coordinates of all 5 atoms:
Pb: 0.5000 0.5000 0.5000  12 Te 4.49
Te: 0.0000 0.5000 0.0000  2 Ba 3.17
Te: 0.0000 0.0000 0.5000  2 Ba 3.17
Te: 0.5000 0.0000 0.0000  2 Ba 3.17
Ba: 0.0000 0.0000 0.0000  6 Te 3.17

Summary:
SG = No. 221
total moment = 0.00 μB per cell


Which of them is most stable? Easy: w.


w:
BaTePb: relaxed, GGA-PBE.

Cell: 5.6234 5.6234 5.6234 Å, 60.00 60.00 60.00°
With the nearest neighbours (Å) after each atom.
Fractional coordinates of all 3 atoms:
Ba: 0.0000 0.0000 0.0000  4 Te 3.44
Pb: 0.5000 0.5000 0.5000  4 Te 3.44
Te: 0.7500 0.7500 0.7500  4 Pb 3.44, 4 Ba 3.44

Summary:
SG = No. 216
total moment = 0.00 μB per cell


x:
BaTePb: relaxed, GGA-PBE.

Cell: 6.7510 6.7505 4.3780 Å, 71.09 71.07 37.84°
With the nearest neighbours (Å) after each atom.
Fractional coordinates of all 3 atoms:
Ba: 0.0082 0.0082 0.9918  1 Pb 3.42, 1 Te 3.71
Pb: 0.2931 0.2931 0.7069  4 Te 3.30, 1 Ba 3.42
Te: 0.6987 0.6987 0.3013  4 Pb 3.30

Summary:
SG = No. 107
total moment = 0.00 μB per cell


y:
BaTePb: relaxed, GGA-PBE.

Cell: 5.7069 5.7069 5.7069 Å, 60.00 60.00 60.00°
With the nearest neighbours (Å) after each atom.
Fractional coordinates of all 3 atoms:
Ba: 0.7500 0.7500 0.7500  4 Te 3.49, 4 Pb 3.49
Pb: 0.0000 0.0000 0.0000  4 Ba 3.49
Te: 0.5000 0.5000 0.5000  4 Ba 3.49

Summary:
SG = No. 216
total moment = 0.00 μB per cell


Which of them is most stable? Easy: x.